VASP calculation (PBE-GGA) on crystalline NaLi5Ca2In2 at its relaxed geometry.

Its crystal system is tetragonal.

The space group is P4/mbm (No. 127) and the conventional cell measures 10.830, 10.830 and 4.514 Å, with angles of 90.00, 90.00 and 90.00 degrees. The asymmetric unit holds Na at (0.000, 0.000, 0.000), Li at (0.000, 0.500, 0.500), Li at (0.064, 0.223, 0.500), Ca at (0.182, 0.682, 0.000) and In at (0.110, 0.390, 0.000).

---

VASP calculation (PBE-GGA) on crystalline InSiOs2 at its relaxed geometry.

Its crystal system is monoclinic. For the formation energy (no corrections), the calculation gives 0.69 eV/f.u.

The space group is P2/m (No. 10) and the conventional cell measures 2.951, 3.850 and 5.682 Å, with angles of 90.00, 103.62 and 90.00 degrees. The asymmetric unit holds In at (0.000, 0.000, 0.000), Si at (0.000, 0.000, 0.500) and Os at (0.354, 0.500, 0.712).

---

VASP calculation (PBE-GGA) on crystalline CoCuPb2 at its relaxed geometry.

Its crystal system is tetragonal.

The space group is I-4m2 (No. 119) and the conventional cell measures 3.982, 3.982 and 10.166 Å, with angles of 90.00, 90.00 and 90.00 degrees. The asymmetric unit holds Co at (0.000, 0.000, 0.000), Cu at (0.000, 0.500, 0.750), Pb at (0.000, 0.000, 0.500) and Pb at (0.000, 0.500, 0.250).

---

no.,energy (eV per cell)
1,-43.8
2,-29.9
3,-32.9